#i
MgSc2P: relaxed, GGA-PBE.

Output
Symmetry: R-3m (166)
Total moment, μB/cell: 0.00

Geometry as CIF:
```
data_MgSc2P
_space_group_name_H-M_alt 'P 1'
_space_group_IT_number 1
_space_group_name_Hall 'P 1'
_cell_length_a 10.409
_cell_length_b 10.409
_cell_length_c 10.409
_cell_angle_alpha 17.82
_cell_angle_beta 17.82
_cell_angle_gamma 17.82
loop_
_atom_site_label
_atom_site_type_symbol
_atom_site_fract_x
_atom_site_fract_y
_atom_site_fract_z
Mg1 Mg 0.500 0.500 0.500
Sc1 Sc 0.917 0.917 0.917
P1 P 0.000 0.000 0.000
Sc2 Sc 0.083 0.083 0.083
```

#ii
MgSc2P: relaxed, GGA-PBE.

Output
Symmetry: Cmm2 (35)
Total moment, μB/cell: 0.00

Geometry as CIF:
```
data_MgSc2P
_space_group_name_H-M_alt 'P 1'
_space_group_IT_number 1
_space_group_name_Hall 'P 1'
_cell_length_a 3.315
_cell_length_b 3.315
_cell_length_c 7.957
_cell_angle_alpha 90.00
_cell_angle_beta 90.00
_cell_angle_gamma 101.77
loop_
_atom_site_label
_atom_site_type_symbol
_atom_site_fract_x
_atom_site_fract_y
_atom_site_fract_z
Mg1 Mg 0.000 0.000 0.552
Sc1 Sc 0.500 0.500 0.247
Sc2 Sc 0.000 0.000 0.940
P1 P 0.500 0.500 0.760
```

#ii (52.1 kJ/mol of atoms below the next structure)

#i
MgFe2Ni2: relaxed, GGA-PBE.

Output
Symmetry: P4/mbm (127)
Total moment, μB/cell: 13.21

Geometry as CIF:
```
data_MgFe2Ni2
_space_group_name_H-M_alt 'P 1'
_space_group_IT_number 1
_space_group_name_Hall 'P 1'
_cell_length_a 7.012
_cell_length_b 7.012
_cell_length_c 2.649
_cell_angle_alpha 90.00
_cell_angle_beta 90.00
_cell_angle_gamma 90.00
loop_
_atom_site_label
_atom_site_type_symbol
_atom_site_fract_x
_atom_site_fract_y
_atom_site_fract_z
Ni1 Ni 0.871 0.629 0.000
Fe1 Fe 0.835 0.335 0.500
Fe2 Fe 0.665 0.835 0.500
Ni2 Ni 0.629 0.129 0.000
Mg1 Mg 0.000 0.000 0.000
Fe3 Fe 0.335 0.165 0.500
Fe4 Fe 0.165 0.665 0.500
Ni3 Ni 0.129 0.371 0.000
Ni4 Ni 0.371 0.871 0.000
Mg2 Mg 0.500 0.500 0.000
```

#ii
MgFe2Ni2: relaxed, GGA-PBE.

Output
Symmetry: P4/mbm (127)
Total moment, μB/cell: 12.50

Geometry as CIF:
```
data_MgFe2Ni2
_space_group_name_H-M_alt 'P 1'
_space_group_IT_number 1
_space_group_name_Hall 'P 1'
_cell_length_a 7.070
_cell_length_b 7.070
_cell_length_c 2.594
_cell_angle_alpha 90.00
_cell_angle_beta 90.00
_cell_angle_gamma 90.00
loop_
_atom_site_label
_atom_site_type_symbol
_atom_site_fract_x
_atom_site_fract_y
_atom_site_fract_z
Fe1 Fe 0.118 0.382 0.000
Ni1 Ni 0.824 0.324 0.500
Fe2 Fe 0.618 0.118 0.000
Ni2 Ni 0.176 0.676 0.500
Mg1 Mg 0.500 0.500 0.000
Ni3 Ni 0.676 0.824 0.500
Fe3 Fe 0.382 0.882 0.000
Mg2 Mg 0.000 0.000 0.000
Ni4 Ni 0.324 0.176 0.500
Fe4 Fe 0.882 0.618 0.000
```

#i (1.4 kJ/mol of atoms below the next structure)